ScAg | PBE | optimized geometry

Properties
- ρ (g cm⁻³) = 4.607
- crystal system = hexagonal
- final energy (eV per atom) = -4.224
- ΔE_f (eV/atom) = 0.3674
- space group = P6_3/mmc (194)

Cell and atoms, written as POSCAR:
```
ScAg
1.0
-0.044 1.878 4.350
2.912 -3.603 -0.996
4.022 3.678 -1.547
Sc Ag
2 2
Direct
0.333 0.667 0.250 Sc
0.667 0.333 0.750 Sc
0.333 0.667 0.750 Ag
0.667 0.333 0.250 Ag
```